Record 1
Cd2In2Pt: optimized geometry, GGA-PBE.

The value obtained for the energy relative to the lowest polymorph listed for this composition is 59 meV/atom. Its formation energy is 64 meV/atom. The calculation puts the total magnetization at 0.000 μB per atom.

The structure belongs to space group P4/mbm (No. 127); the cell edges are 7.171, 7.171 and 4.528 Å and the angles 90.00°, 90.00° and 90.00°. The distinct sites, in fractional coordinates, are Cd at (0.145, 0.355, 0.000), In at (0.168, 0.668, 0.500) and Pt at (0.000, 0.000, 0.000).

---

Record 2
Li6Br2NCl: optimized geometry, GGA-PBE.

The formation energy (no corrections) comes out at -1.110 eV/atom. The calculation puts the total magnetization at 0.013 μB per atom.

The structure belongs to space group C2/m (No. 12); the cell edges are 10.802, 6.188 and 6.200 Å and the angles 90.00°, 124.33° and 90.00°. The distinct sites, in fractional coordinates, are Li at (0.058, 0.219, 0.348), Li at (0.206, 0.000, 0.808), Br at (0.248, 0.500, 0.732), N at (0.000, 0.000, 0.500) and Cl at (0.000, 0.500, 0.000).

---

Record 3
PaCoNiGe: optimized geometry, GGA-PBE.

The value obtained for the energy relative to the lowest polymorph listed for this composition is 0 meV/atom. Its formation energy is -367 meV/atom. The calculation puts the total magnetization at 0.000 μB per atom.

The structure belongs to space group Cm (No. 8); the cell edges are 7.753, 4.190 and 4.292 Å and the angles 90.00°, 104.17° and 90.00°. The distinct sites, in fractional coordinates, are Pa at (0.000, 0.000, 0.000), Co at (0.244, 0.500, 0.147), Ni at (0.280, 0.000, 0.528) and Ge at (0.104, 0.500, 0.580).